No. 1
# TiRe2Pd, optimized geometry, DFT PBE-GGA
# **Magnetization**: 0.0 μB/f.u.
# **Space-group type**: No. 225
# **N(E_F)**: 0.569 states/eV per atom
# **Calculated formation energy**: 0.235 eV/atom
# **Mass density**: 14.33 Mg/m³
data_TiRe2Pd
_cell_length_a 4.4191
_cell_length_b 4.4191
_cell_length_c 4.4191
_cell_angle_alpha 60.00
_cell_angle_beta 60.00
_cell_angle_gamma 60.00
_symmetry_space_group_name_H-M 'P 1'
_symmetry_Int_Tables_number 1
_symmetry_space_group_name_Hall 'P 1'
loop_
_atom_site_label
_atom_site_fract_x
_atom_site_fract_y
_atom_site_fract_z
Ti1 0.0000 0.0000 0.0000
Re1 0.2500 0.2500 0.2500
Re2 0.7500 0.7500 0.7500
Pd1 0.5000 0.5000 0.5000

***

No. 2
# TiRe3Pd, optimized geometry, DFT PBE-GGA
# **Magnetization**: 0.0 μB/f.u.
# **Space-group type**: No. 221
# **N(E_F)**: 0.939 states/eV per atom
# **Calculated formation energy**: 1.834 eV/atom
# **Mass density**: 12.97 Mg/m³
data_TiRe3Pd
_cell_length_a 4.5028
_cell_length_b 4.5028
_cell_length_c 4.5028
_cell_angle_alpha 90.00
_cell_angle_beta 90.00
_cell_angle_gamma 90.00
_symmetry_space_group_name_H-M 'P 1'
_symmetry_Int_Tables_number 1
_symmetry_space_group_name_Hall 'P 1'
loop_
_atom_site_label
_atom_site_fract_x
_atom_site_fract_y
_atom_site_fract_z
Ti1 0.0000 0.0000 0.0000
Re1 0.0000 0.0000 0.5000
Re2 0.0000 0.5000 0.0000
Re3 0.5000 0.0000 0.0000
Pd1 0.5000 0.5000 0.5000

***

No. 3
# TiRe2Pd, optimized geometry, DFT PBE-GGA
# **Magnetization**: 0.0 μB/f.u.
# **Space-group type**: No. 122
# **N(E_F)**: 0.946 states/eV per atom
# **Calculated formation energy**: 0.362 eV/atom
# **Mass density**: 13.12 Mg/m³
data_TiRe2Pd
_cell_length_a 9.9778
_cell_length_b 9.9778
_cell_length_c 9.9778
_cell_angle_alpha 158.50
_cell_angle_beta 158.50
_cell_angle_gamma 30.59
_symmetry_space_group_name_H-M 'P 1'
_symmetry_Int_Tables_number 1
_symmetry_space_group_name_Hall 'P 1'
loop_
_atom_site_label
_atom_site_fract_x
_atom_site_fract_y
_atom_site_fract_z
Ti1 0.0000 0.0000 0.0000
Ti2 0.7500 0.2500 0.5000
Re1 0.0932 0.6250 0.9682
Re2 0.3750 0.3432 0.4682
Re3 0.6568 0.1250 0.0318
Re4 0.8750 0.9068 0.5318
Pd1 0.2500 0.7500 0.5000
Pd2 0.5000 0.5000 0.0000

***

Question: Which of these has the lowest mass density?
Answer: TiRe3Pd

***

Question: The lowest calculated formation energy belongs to which entry?
Answer: number 1